# 1
Material: Cr5SbRh6
Method: DFT, PBE
State: relaxed

Results
**Uncorrected formation energy**: -0.13 eV per atom
**Uncorrected energy**: -8.16 eV per atom

Cell lengths 3.8665, 7.1983, 7.1983 Å; angles 108.70, 105.58, 105.58 degrees
With the nearest neighbours (Å) after each atom.
Fractional coordinates of all 12 atoms:
Cr1 0.5000 0.1839 0.8161  6 Rh 2.52-2.70, 2 Cr 2.61
Cr2 0.0000 0.3335 0.6665  4 Cr 2.61-2.74, 8 Rh 2.64-2.69
Cr3 0.5000 0.5000 0.5000  8 Rh 2.63-2.71, 4 Cr 2.74
Cr4 0.0000 0.6665 0.3335  4 Cr 2.61-2.74, 8 Rh 2.64-2.69
Cr5 0.5000 0.8161 0.1839  6 Rh 2.52-2.70, 2 Cr 2.61
Rh1 0.2525 0.0830 0.4219  7 Cr 2.52-2.71, 4 Rh 2.70-2.77, 1 Sb 2.73
Rh2 0.7475 0.5781 0.9170  7 Cr 2.52-2.71, 4 Rh 2.70-2.77, 1 Sb 2.73
Rh3 0.7607 0.2607 0.2607  6 Cr 2.63-2.90, 2 Sb 2.74, 4 Rh 2.77
Rh4 0.2393 0.7393 0.7393  6 Cr 2.63-2.90, 2 Sb 2.74, 4 Rh 2.77
Rh5 0.2525 0.4219 0.0830  7 Cr 2.52-2.71, 4 Rh 2.70-2.77, 1 Sb 2.73
Rh6 0.7475 0.9170 0.5781  7 Cr 2.52-2.71, 4 Rh 2.70-2.77, 1 Sb 2.73
Sb1 0.0000 0.0000 0.0000  8 Rh 2.73-2.74, 4 Cr 2.89



# 2
Material: GeSO2
Method: DFT, PBE
State: relaxed

Results
**Uncorrected formation energy**: 0.54 eV per atom
**Offset from the most stable computed form**: 0.933 eV per atom
**Uncorrected energy**: -4.12 eV per atom

Cell lengths 4.0477, 4.0477, 4.0477 Å; angles 60.00, 60.00, 60.00 degrees
With the nearest neighbours (Å) after each atom.
Fractional coordinates of all 4 atoms:
Ge1 0.5000 0.5000 0.5000  8 O 2.48
S1 0.0000 0.0000 0.0000  8 O 2.48
O1 0.2500 0.2500 0.2500  4 Ge 2.48, 4 S 2.48
O2 0.7500 0.7500 0.7500  4 Ge 2.48, 4 S 2.48



# 3
Material: NaLaS2
Method: DFT, PBE
State: relaxed

Results
**Uncorrected formation energy**: -1.68 eV per atom
**Uncorrected energy**: -5.31 eV per atom

Cell lengths 4.9619, 4.9619, 4.9619 Å; angles 60.00, 60.00, 60.00 degrees
With the nearest neighbours (Å) after each atom.
Fractional coordinates of all 4 atoms:
Na1 0.0000 0.0000 0.0000  8 S 3.04
S1 0.2500 0.2500 0.2500  4 La 3.04, 4 Na 3.04
S2 0.7500 0.7500 0.7500  4 La 3.04, 4 Na 3.04
La1 0.5000 0.5000 0.5000  8 S 3.04



# 4
Material: TcPbAu2
Method: DFT, PBE
State: relaxed

Results
**Uncorrected energy**: -4.68 eV per atom

Cell lengths 5.4233, 5.4233, 5.4233 Å; angles 135.01, 135.01, 65.52 degrees
With the nearest neighbours (Å) after each atom.
Fractional coordinates of all 4 atoms:
Au1 0.0000 0.0000 0.0000  4 Au 2.93, 4 Pb 3.08, 4 Tc 3.08
Au2 0.5000 0.5000 0.0000  4 Au 2.93, 4 Pb 3.08, 4 Tc 3.08
Pb1 0.2500 0.7500 0.5000  4 Tc 2.93, 8 Au 3.08
Tc1 0.7500 0.2500 0.5000  4 Pb 2.93, 8 Au 3.08



# 5
Material: MgTlSnHg
Method: DFT, PBE
State: relaxed

Results
**Offset from the most stable computed form**: 0.104 eV per atom
**Uncorrected energy**: -2.03 eV per atom

Cell lengths 5.3194, 5.3194, 5.3194 Å; angles 60.00, 60.00, 60.00 degrees
With the nearest neighbours (Å) after each atom.
Fractional coordinates of all 4 atoms:
Mg1 0.0000 0.0000 0.0000  4 Hg 3.26, 4 Sn 3.26
Tl1 0.5000 0.5000 0.5000  4 Hg 3.26, 4 Sn 3.26
Hg1 0.7500 0.7500 0.7500  4 Tl 3.26, 4 Mg 3.26
Sn1 0.2500 0.2500 0.2500  4 Tl 3.26, 4 Mg 3.26



# 6
Material: LiCd8In2
Method: DFT, PBE
State: relaxed

Results
**Offset from the most stable computed form**: 0.018 eV per atom
**Uncorrected energy**: -1.30 eV per atom

Cell lengths 5.3505, 7.5113, 7.5113 Å; angles 79.80, 76.24, 76.24 degrees
With the nearest neighbours (Å) after each atom.
Fractional coordinates of all 11 atoms:
Li1 0.0000 0.0000 0.0000  6 Cd 2.83-2.91, 4 In 3.07-3.11
Cd1 0.9336 0.1394 0.6346  1 Li 2.83, 5 Cd 2.90-3.11, 1 In 3.13
Cd2 0.0664 0.3654 0.8606  1 Li 2.83, 5 Cd 2.90-3.11, 1 In 3.13
Cd3 0.8093 0.2653 0.2653  5 Cd 2.87-3.07, 1 Li 2.91, 2 In 2.91-3.09
Cd4 0.1907 0.7347 0.7347  5 Cd 2.87-3.07, 1 Li 2.91, 2 In 2.91-3.09
Cd5 0.9336 0.6346 0.1394  1 Li 2.83, 5 Cd 2.90-3.11, 1 In 3.13
Cd6 0.0664 0.8606 0.3654  1 Li 2.83, 5 Cd 2.90-3.11, 1 In 3.13
Cd7 0.2901 0.4385 0.4385  5 Cd 2.87-3.11
Cd8 0.7099 0.5615 0.5615  5 Cd 2.87-3.11
In1 0.4104 0.1413 0.1413  4 Cd 2.91-3.13, 2 Li 3.07-3.11, 1 In 3.10
In2 0.5896 0.8587 0.8587  4 Cd 2.91-3.13, 2 Li 3.07-3.11, 1 In 3.10



# 7
Material: Os2AuCl
Method: DFT, PBE
State: relaxed

Results
**Uncorrected formation energy**: 1.40 eV per atom
**Offset from the most stable computed form**: 1.068 eV per atom
**Uncorrected energy**: -5.50 eV per atom

Cell lengths 2.7700, 3.7348, 6.0535 Å; angles 90.00, 90.00, 90.00 degrees
With the nearest neighbours (Å) after each atom.
Fractional coordinates of all 4 atoms:
Au1 0.5000 0.5000 0.2500  2 Au 2.77, 8 Os 2.88, 2 Cl 3.03
Cl1 0.5000 0.5000 0.7500  8 Os 2.68, 2 Cl 2.77
Os1 0.0000 0.0000 0.9706  3 Os 2.67-2.77, 4 Cl 2.68, 4 Au 2.88
Os2 0.0000 0.0000 0.5294  3 Os 2.67-2.77, 4 Cl 2.68, 4 Au 2.88



# 8
Material: AcPd4Pt
Method: DFT, PBE
State: relaxed

Results
**Offset from the most stable computed form**: 0.009 eV per atom
**Uncorrected energy**: -5.59 eV per atom

Cell lengths 5.4411, 5.4411, 5.4411 Å; angles 60.00, 60.00, 60.00 degrees
With the nearest neighbours (Å) after each atom.
Fractional coordinates of all 6 atoms:
Ac1 0.2500 0.2500 0.2500  12 Pd 3.19, 4 Pt 3.33
Pd1 0.6262 0.6262 0.1215  6 Pd 2.70-2.75
Pd2 0.6262 0.1215 0.6262  6 Pd 2.70-2.75
Pd3 0.6262 0.6262 0.6262  6 Pd 2.70-2.75
Pd4 0.1215 0.6262 0.6262  6 Pd 2.70-2.75
Pt1 0.0000 0.0000 0.0000  12 Pd 3.19, 4 Ac 3.33



# 9
Material: SiPtRh2
Method: DFT, PBE
State: relaxed

Results
**Uncorrected formation energy**: -0.44 eV per atom
**Uncorrected energy**: -6.98 eV per atom

Cell lengths 8.4424, 8.4424, 8.4424 Å; angles 19.15, 19.15, 19.15 degrees
With the nearest neighbours (Å) after each atom.
Fractional coordinates of all 4 atoms:
Pt1 0.7500 0.7500 0.7500  6 Pt 2.81, 6 Rh 2.85
Rh1 0.9891 0.9891 0.9891  3 Si 2.42
Rh2 0.5109 0.5109 0.5109  3 Si 2.42
Si1 0.2500 0.2500 0.2500  6 Rh 2.42



# 10
Material: Tb3Ce2NdY6
Method: DFT, PBE
State: relaxed

Results
**Uncorrected energy**: -5.72 eV per atom

Cell lengths 6.1881, 6.1881, 11.8060 Å; angles 95.01, 95.01, 120.00 degrees
With the nearest neighbours (Å) after each atom.
Fractional coordinates of all 12 atoms:
Tb1 0.1662 0.8338 0.5000  6 Y 3.56-3.57, 6 Tb 3.56-3.58
Tb2 0.8338 0.1662 0.5000  6 Y 3.56-3.57, 6 Tb 3.56-3.58
Tb3 0.5000 0.5000 0.5000  6 Y 3.56-3.57, 6 Tb 3.57-3.58
Ce1 0.3333 0.6667 0.0000  6 Y 3.56, 3 Nd 3.57, 3 Ce 3.57
Ce2 0.6667 0.3333 0.0000  6 Y 3.56, 3 Nd 3.57, 3 Ce 3.57
Nd1 0.0000 0.0000 0.0000  6 Y 3.57, 6 Ce 3.57
Y1 0.9164 0.5807 0.7501  2 Ce 3.56, 3 Tb 3.56-3.57, 6 Y 3.56-3.60, 1 Nd 3.57
Y2 0.7478 0.7478 0.2498  3 Tb 3.56-3.57, 2 Ce 3.56, 6 Y 3.56-3.60, 1 Nd 3.57
Y3 0.0836 0.4193 0.2499  2 Ce 3.56, 3 Tb 3.56-3.57, 6 Y 3.56-3.60, 1 Nd 3.57
Y4 0.5807 0.9164 0.7501  2 Ce 3.56, 3 Tb 3.56-3.57, 6 Y 3.56-3.60, 1 Nd 3.57
Y5 0.2522 0.2522 0.7502  3 Tb 3.56-3.57, 2 Ce 3.56, 6 Y 3.56-3.60, 1 Nd 3.57
Y6 0.4193 0.0836 0.2499  2 Ce 3.56, 3 Tb 3.56-3.57, 6 Y 3.56-3.60, 1 Nd 3.57



# 11
Material: La8Nd4Th
Method: DFT, PBE
State: relaxed

Results
**Uncorrected energy**: -4.64 eV per atom

Cell lengths 7.9926, 7.9926, 7.9926 Å; angles 90.10, 90.10, 90.10 degrees
With the nearest neighbours (Å) after each atom.
Fractional coordinates of all 13 atoms:
La1 0.2383 0.7606 0.2383  4 Nd 3.31-3.52, 1 Th 3.62
La2 0.7617 0.7617 0.2394  4 Nd 3.31-3.52, 1 Th 3.62
La3 0.7617 0.2394 0.7617  4 Nd 3.31-3.52, 1 Th 3.62
La4 0.2394 0.7617 0.7617  4 Nd 3.31-3.52, 1 Th 3.62
La5 0.7616 0.7616 0.7616  4 Nd 3.29-3.52, 1 Th 3.62
La6 0.2384 0.2384 0.2384  4 Nd 3.29-3.52, 1 Th 3.62
La7 0.7606 0.2383 0.2383  4 Nd 3.31-3.52, 1 Th 3.62
La8 0.2383 0.2383 0.7606  4 Nd 3.31-3.52, 1 Th 3.62
Nd1 0.5000 0.0000 0.5000  8 La 3.52
Nd2 0.0000 0.5000 0.5000  8 La 3.52
Nd3 0.5000 0.5000 0.0000  8 La 3.52
Nd4 0.0000 0.0000 0.0000  8 La 3.29-3.31
Th1 0.5000 0.5000 0.5000  8 La 3.62, 6 Nd 4.00



# 12
Material: MnAu3Se
Method: DFT, PBE
State: relaxed

Results
**Uncorrected formation energy**: 1.17 eV per atom
**Offset from the most stable computed form**: 0.409 eV per atom
**Uncorrected energy**: -3.33 eV per atom

Cell lengths 4.7944, 4.7944, 4.7944 Å; angles 90.00, 90.00, 90.00 degrees
With the nearest neighbours (Å) after each atom.
Fractional coordinates of all 5 atoms:
Mn1 0.0000 0.0000 0.0000  6 Au 2.40
Au1 0.0000 0.5000 0.0000  2 Mn 2.40
Au2 0.0000 0.0000 0.5000  2 Mn 2.40
Au3 0.5000 0.0000 0.0000  2 Mn 2.40
Se1 0.5000 0.5000 0.5000  12 Au 3.39



What did the fifth record say?
Material: MgTlSnHg
Method: DFT, PBE
State: relaxed

Results
**Offset from the most stable computed form**: 0.104 eV per atom
**Uncorrected energy**: -2.03 eV per atom

Cell lengths 5.3194, 5.3194, 5.3194 Å; angles 60.00, 60.00, 60.00 degrees
With the nearest neighbours (Å) after each atom.
Fractional coordinates of all 4 atoms:
Mg1 0.0000 0.0000 0.0000  4 Hg 3.26, 4 Sn 3.26
Tl1 0.5000 0.5000 0.5000  4 Hg 3.26, 4 Sn 3.26
Hg1 0.7500 0.7500 0.7500  4 Tl 3.26, 4 Mg 3.26
Sn1 0.2500 0.2500 0.2500  4 Tl 3.26, 4 Mg 3.26